Entry 1:
Below is a relaxed Ti5Al5Pd crystal, with properties calculated at the PBE level.

Cell lengths 4.8119, 8.1759, 5.5103 Å; angles 109.68, 90.00, 107.11 degrees
Atoms (fractional coordinates):
Al1 0.8418 0.6837 0.5965
Al2 0.5000 0.0000 0.0000
Al3 0.8418 0.6837 0.0873
Al4 0.1582 0.3163 0.9127
Al5 0.1582 0.3163 0.4035
Ti1 0.6689 0.3378 0.6688
Ti2 0.3189 0.6378 0.8190
Ti3 0.6811 0.3622 0.1810
Ti4 0.0000 0.0000 0.5000
Ti5 0.3311 0.6622 0.3312
Pd1 0.0000 0.0000 0.0000

* VASP energy: -5.83 eV/atom
* total magnetic moment: 0.96 μB/cell
* ΔH_f (0 K): -0.072 eV per atom

Entry 2:
Below is a relaxed TiAl3Pd2 crystal, with properties calculated at the PBE level.

Cell lengths 2.9982, 2.9982, 10.1038 Å; angles 90.00, 90.00, 90.00 degrees
Atoms (fractional coordinates):
Ti1 0.5000 0.5000 0.5000
Al1 0.0000 0.0000 0.0000
Al2 0.0000 0.0000 0.3158
Al3 0.0000 0.0000 0.6842
Pd1 0.5000 0.5000 0.1565
Pd2 0.5000 0.5000 0.8435

* VASP energy: -5.63 eV/atom
* total magnetic moment: 0.00 μB/cell
* ΔH_f (0 K): -0.714 eV per atom

Entry 3:
Below is a relaxed Ti4Al2Pd3 crystal, with properties calculated at the PBE level.

Cell lengths 4.2163, 5.2198, 7.2745 Å; angles 80.21, 73.15, 66.18 degrees
Atoms (fractional coordinates):
Al1 0.6703 0.8845 0.7749
Al2 0.3297 0.1155 0.2251
Pd1 0.0000 0.0000 0.0000
Pd2 0.6640 0.2200 0.4520
Pd3 0.3360 0.7800 0.5480
Ti1 0.6750 0.5375 0.1125
Ti2 0.3250 0.4625 0.8875
Ti3 0.0088 0.3169 0.6656
Ti4 0.9912 0.6831 0.3344

* VASP energy: -6.63 eV/atom
* total magnetic moment: 0.83 μB/cell
* ΔH_f (0 K): -0.563 eV per atom

Entry 4:
Below is a relaxed TiAl5Pd6 crystal, with properties calculated at the PBE level.

Cell lengths 4.3501, 6.2567, 7.5599 Å; angles 114.44, 106.72, 90.00 degrees
Atoms (fractional coordinates):
Pd1 0.8323 0.5798 0.6646
Pd2 0.5000 0.7464 0.0000
Pd3 0.1677 0.4202 0.3354
Pd4 0.5000 0.2536 0.0000
Pd5 0.1677 0.9152 0.3354
Pd6 0.8323 0.0848 0.6646
Al1 0.6671 0.6671 0.3341
Al2 0.0000 0.5000 0.0000
Al3 0.6640 0.1640 0.3279
Al4 0.3360 0.8360 0.6721
Al5 0.3329 0.3329 0.6659
Ti1 0.0000 0.0000 0.0000

* VASP energy: -5.63 eV/atom
* total magnetic moment: 0.00 μB/cell
* ΔH_f (0 K): -0.814 eV per atom

Entry 5:
Below is a relaxed TiAl6Pd crystal, with properties calculated at the PBE level.

Cell lengths 3.9676, 5.6457, 5.6457 Å; angles 90.06, 90.00, 90.00 degrees
Atoms (fractional coordinates):
Al1 0.0000 0.7530 0.7530
Al2 0.0000 0.2468 0.7532
Al3 0.0000 0.7532 0.2468
Al4 0.0000 0.2470 0.2470
Al5 0.5000 0.0000 0.5000
Al6 0.5000 0.5000 0.0000
Pd1 0.5000 0.5000 0.5000
Ti1 0.5000 0.0000 0.0000

* VASP energy: -4.75 eV/atom
* total magnetic moment: 0.00 μB/cell
* ΔH_f (0 K): -0.302 eV per atom

Entry 6:
Below is a relaxed TiAl3Pd12 crystal, with properties calculated at the PBE level.

Cell lengths 3.9160, 3.9160, 15.6199 Å; angles 90.00, 90.00, 90.00 degrees
Atoms (fractional coordinates):
Pd1 0.5000 0.0000 0.8752
Pd2 0.0000 0.5000 0.8752
Pd3 0.5000 0.0000 0.1248
Pd4 0.0000 0.5000 0.3749
Pd5 0.5000 0.5000 0.2497
Pd6 0.5000 0.0000 0.6251
Pd7 0.0000 0.5000 0.1248
Pd8 0.0000 0.5000 0.6251
Pd9 0.5000 0.5000 0.7503
Pd10 0.5000 0.5000 0.5000
Pd11 0.5000 0.0000 0.3749
Pd12 0.5000 0.5000 0.0000
Al1 0.0000 0.0000 0.5000
Al2 0.0000 0.0000 0.2530
Al3 0.0000 0.0000 0.7470
Ti1 0.0000 0.0000 0.0000

* VASP energy: -5.71 eV/atom
* total magnetic moment: 0.00 μB/cell
* ΔH_f (0 K): -0.625 eV per atom

Number 5 is which compound? TiAl6Pd